(1)
{
  "formula": "Th8P3IrSe4",
  "functional": "GGA-PBE",
  "state": "relaxed",
  "lattice": [[4.174, 2.410, 6.907], [-4.174, 2.410, 6.907], [0.000, -4.820, 6.907]],
  "species": ["Th", "Th", "Th", "Th", "Th", "Th", "Th", "Th", "P", "P", "P", "Ir", "Se", "Se", "Se", "Se"],
  "fractional_positions": [[0.243, 0.243, 0.243], [0.245, 0.742, 0.742], [0.258, 0.258, 0.755], [0.258, 0.755, 0.258], [0.742, 0.245, 0.742], [0.742, 0.742, 0.245], [0.755, 0.258, 0.258], [0.757, 0.757, 0.757], [0.000, 0.000, 0.500], [0.000, 0.500, 0.000], [0.500, 0.000, 0.000], [0.500, 0.500, 0.500], [0.000, 0.000, 0.000], [0.000, 0.500, 0.500], [0.500, 0.000, 0.500], [0.500, 0.500, 0.000]],
  "e_form_raw_ev_per_fu": -24.26
}

(2)
{
  "formula": "RbAgHgBr5",
  "functional": "GGA-PBE",
  "state": "relaxed",
  "lattice": [[4.438, -6.962, 0.000], [4.438, 6.962, 0.000], [-3.765, 0.000, 9.447]],
  "species": ["Rb", "Rb", "Ag", "Ag", "Hg", "Hg", "Br", "Br", "Br", "Br", "Br", "Br", "Br", "Br", "Br", "Br"],
  "fractional_positions": [[0.174, 0.826, 0.750], [0.826, 0.174, 0.250], [0.500, 0.500, 0.000], [0.500, 0.500, 0.500], [0.172, 0.828, 0.250], [0.828, 0.172, 0.750], [0.154, 0.228, 0.937], [0.191, 0.633, 0.420], [0.228, 0.154, 0.437], [0.367, 0.809, 0.080], [0.443, 0.557, 0.750], [0.557, 0.443, 0.250], [0.633, 0.191, 0.920], [0.772, 0.846, 0.563], [0.809, 0.367, 0.580], [0.846, 0.772, 0.063]],
  "e_form_raw_ev_per_fu": -5.44
}

(3)
{
  "formula": "Zn4Ni15Sn",
  "functional": "GGA-PBE",
  "state": "relaxed",
  "lattice": [[3.627, 0.000, 0.000], [0.000, 3.627, 0.000], [0.000, 0.000, 17.908]],
  "species": ["Zn", "Zn", "Zn", "Zn", "Ni", "Ni", "Ni", "Ni", "Ni", "Ni", "Ni", "Ni", "Ni", "Ni", "Ni", "Ni", "Ni", "Ni", "Ni", "Sn"],
  "fractional_positions": [[0.000, 0.000, 0.098], [0.000, 0.000, 0.294], [0.000, 0.000, 0.706], [0.000, 0.000, 0.902], [0.000, 0.500, 0.000], [0.000, 0.500, 0.196], [0.000, 0.500, 0.392], [0.000, 0.500, 0.608], [0.000, 0.500, 0.804], [0.500, 0.000, 0.000], [0.500, 0.000, 0.196], [0.500, 0.000, 0.392], [0.500, 0.000, 0.608], [0.500, 0.000, 0.804], [0.500, 0.500, 0.098], [0.500, 0.500, 0.295], [0.500, 0.500, 0.500], [0.500, 0.500, 0.705], [0.500, 0.500, 0.902], [0.000, 0.000, 0.500]],
  "delta_e_f_kj_per_mol_fu": -219
}

(4)
{
  "formula": "TaCu2W",
  "functional": "GGA-PBE",
  "state": "relaxed",
  "lattice": [[0.000, 3.079, 3.079], [3.079, 0.000, 3.079], [3.079, 3.079, 0.000]],
  "species": ["Ta", "Cu", "Cu", "W"],
  "fractional_positions": [[0.000, 0.000, 0.000], [0.250, 0.250, 0.250], [0.750, 0.750, 0.750], [0.500, 0.500, 0.500]],
  "delta_e_f_kj_per_mol_fu": 158,
  "e_above_lowest_polymorph_ev_per_atom": 0.2698
}

(5)
{
  "formula": "LaMgO3",
  "functional": "GGA-PBE",
  "state": "relaxed",
  "lattice": [[3.900, 0.000, 0.000], [0.000, 3.900, 0.000], [0.000, 0.000, 3.900]],
  "species": ["La", "Mg", "O", "O", "O"],
  "fractional_positions": [[0.000, 0.000, 0.000], [0.500, 0.500, 0.500], [0.000, 0.500, 0.500], [0.500, 0.000, 0.500], [0.500, 0.500, 0.000]],
  "e_form_raw_ev_per_fu": -12.63
}

(6)
{
  "formula": "TbEuGaPd",
  "functional": "GGA-PBE",
  "state": "relaxed",
  "lattice": [[0.000, 3.619, 3.619], [3.619, 0.000, 3.619], [3.619, 3.619, 0.000]],
  "species": ["Tb", "Eu", "Ga", "Pd"],
  "fractional_positions": [[0.000, 0.000, 0.000], [0.500, 0.500, 0.500], [0.250, 0.250, 0.250], [0.750, 0.750, 0.750]],
  "delta_e_f_kj_per_mol_fu": -223
}

(7)
{
  "formula": "SmEr2Tc",
  "functional": "GGA-PBE",
  "state": "relaxed",
  "lattice": [[2.410, 1.392, 5.046], [-2.410, 1.392, 5.046], [0.000, -2.783, 5.046]],
  "species": ["Sm", "Er", "Er", "Tc"],
  "fractional_positions": [[0.000, 0.000, 0.000], [0.227, 0.227, 0.227], [0.773, 0.773, 0.773], [0.500, 0.500, 0.500]],
  "delta_e_f_kj_per_mol_fu": 67,
  "e_above_lowest_polymorph_ev_per_atom": 0.2697
}

(8)
{
  "formula": "La2SmY3Te6",
  "functional": "GGA-PBE",
  "state": "relaxed",
  "lattice": [[9.722, -2.211, 0.000], [9.722, 2.211, 0.000], [-2.182, 0.000, 8.694]],
  "species": ["La", "La", "Sm", "Y", "Y", "Y", "Te", "Te", "Te", "Te", "Te", "Te"],
  "fractional_positions": [[0.166, 0.166, 0.332], [0.834, 0.834, 0.668], [0.500, 0.500, 0.000], [0.168, 0.168, 0.833], [0.500, 0.500, 0.500], [0.832, 0.832, 0.167], [0.005, 0.005, 0.748], [0.333, 0.333, 0.928], [0.337, 0.337, 0.409], [0.663, 0.663, 0.591], [0.667, 0.667, 0.072], [0.995, 0.995, 0.252]],
  "e_form_raw_ev_per_fu": -17.05
}

(9)
{
  "formula": "NbInO4",
  "functional": "GGA-PBE",
  "state": "relaxed",
  "lattice": [[3.428, -3.554, 0.000], [3.428, 3.554, 0.000], [0.000, 0.000, 3.181]],
  "species": ["Nb", "In", "O", "O", "O", "O"],
  "fractional_positions": [[0.000, 0.000, 0.000], [0.500, 0.500, 0.500], [0.181, 0.819, 0.500], [0.290, 0.290, 0.000], [0.710, 0.710, 0.000], [0.819, 0.181, 0.500]],
  "e_form_raw_ev_per_fu": -12.71
}

(10)
{
  "formula": "NaTlNi2As",
  "functional": "GGA-PBE",
  "state": "relaxed",
  "lattice": [[4.656, 0.000, 0.000], [0.000, 4.656, 0.000], [0.000, 0.000, 4.869]],
  "species": ["Na", "Tl", "Ni", "Ni", "As"],
  "fractional_positions": [[0.000, 0.000, 0.000], [0.500, 0.500, 0.500], [0.000, 0.500, 0.000], [0.500, 0.000, 0.000], [0.000, 0.000, 0.500]],
  "delta_e_f_kj_per_mol_fu": 593
}

(11)
{
  "formula": "SiI2Br",
  "functional": "GGA-PBE",
  "state": "relaxed",
  "lattice": [[0.000, 3.838, 3.838], [3.838, 0.000, 3.838], [3.838, 3.838, 0.000]],
  "species": ["Si", "I", "I", "Br"],
  "fractional_positions": [[0.000, 0.000, 0.000], [0.250, 0.250, 0.250], [0.750, 0.750, 0.750], [0.500, 0.500, 0.500]],
  "e_form_raw_ev_per_fu": 2.03,
  "e_above_lowest_polymorph_ev_per_atom": 0.2929
}

(12)
{
  "formula": "Dy2PI3",
  "functional": "GGA-PBE",
  "state": "relaxed",
  "lattice": [[10.602, -2.155, 0.000], [10.602, 2.155, 0.000], [-9.436, 0.000, 10.840]],
  "species": ["Dy", "Dy", "Dy", "Dy", "P", "P", "I", "I", "I", "I", "I", "I"],
  "fractional_positions": [[0.085, 0.085, 0.476], [0.365, 0.365, 0.190], [0.635, 0.635, 0.810], [0.915, 0.915, 0.524], [0.085, 0.085, 0.664], [0.915, 0.915, 0.336], [0.170, 0.170, 0.011], [0.277, 0.277, 0.378], [0.459, 0.459, 0.726], [0.541, 0.541, 0.274], [0.723, 0.723, 0.622], [0.830, 0.830, 0.989]],
  "e_form_raw_ev_per_fu": -7.92
}

(13)
{
  "formula": "Pm4Bi2Se",
  "functional": "GGA-PBE",
  "state": "relaxed",
  "lattice": [[-2.692, 2.692, 8.328], [2.692, -2.692, 8.328], [2.692, 2.692, -8.328]],
  "species": ["Pm", "Pm", "Pm", "Pm", "Bi", "Bi", "Se"],
  "fractional_positions": [[0.000, 0.500, 0.500], [0.172, 0.172, 0.000], [0.500, 0.000, 0.500], [0.828, 0.828, 0.000], [0.365, 0.365, 0.000], [0.635, 0.635, 0.000], [0.000, 0.000, 0.000]],
  "e_form_raw_ev_per_fu": -5.24
}

(14)
{
  "formula": "KAcCdAg",
  "functional": "GGA-PBE",
  "state": "relaxed",
  "lattice": [[0.000, 4.018, 4.018], [4.018, 0.000, 4.018], [4.018, 4.018, 0.000]],
  "species": ["K", "Ac", "Cd", "Ag"],
  "fractional_positions": [[0.000, 0.000, 0.000], [0.500, 0.500, 0.500], [0.750, 0.750, 0.750], [0.250, 0.250, 0.250]],
  "delta_e_f_kj_per_mol_fu": -4
}